DFT (GGA+U) results for MgWF5 after structural relaxation.

Cell and atoms, written as CIF:
```
data_MgWF5
_cell_length_a 5.427
_cell_length_b 10.296
_cell_length_c 8.056
_cell_angle_alpha 90.00
_cell_angle_beta 107.39
_cell_angle_gamma 90.00
_symmetry_space_group_name_H-M 'P 1 21/c 1'
_symmetry_Int_Tables_number 14
loop_
_symmetry_equiv_pos_as_xyz
'x,y,z'
'-x,-y,-z'
'-x,y+1/2,-z+1/2'
'x,-y+1/2,z+1/2'
loop_
_atom_site_label
_atom_site_type_symbol
_atom_site_fract_x
_atom_site_fract_y
_atom_site_fract_z
_atom_site_occupancy
Mg1 Mg 0.012 0.011 0.306 1
W1 W 0.427 0.246 0.144 1
F1 F 0.129 0.115 0.144 1
F2 F 0.153 0.102 0.535 1
F3 F 0.262 0.626 0.834 1
F4 F 0.318 0.595 0.257 1
F5 F 0.402 0.184 0.888 1
```

Properties
* crystal system: monoclinic
* magnetization: 12.00 μB/cell
* E_tot: -5.53 eV per atom